The following is a DFT calculation (PBE) of an optimized crystal structure of HoTmZn10.

Its space-group type is Pmmm, No. 47. The magnetization comes out at 0.00 μB/f.u. For the energy of formation, the calculation gives -0.2619 eV per atom.

CIF file:
```
data_HoTmZn10
_chemical_formula_sum 'Ho1 Tm1 Zn10'
_cell_length_a 4.206
_cell_length_b 5.296
_cell_length_c 9.117
_cell_angle_alpha 90.00
_cell_angle_beta 90.00
_cell_angle_gamma 90.00
_symmetry_space_group_name_H-M 'P 1'
_symmetry_Int_Tables_number 1
loop_
_symmetry_equiv_pos_as_xyz
'x,y,z'
loop_
_atom_site_label
_atom_site_type_symbol
_atom_site_fract_x
_atom_site_fract_y
_atom_site_fract_z
Ho1 Ho 0.000 0.000 0.000
Tm1 Tm 0.000 0.500 0.500
Zn1 Zn 0.000 0.000 0.335
Zn2 Zn 0.000 0.500 0.833
Zn3 Zn 0.000 0.500 0.167
Zn4 Zn 0.000 0.000 0.665
Zn5 Zn 0.500 0.000 0.500
Zn6 Zn 0.500 0.500 0.000
Zn7 Zn 0.500 0.250 0.250
Zn8 Zn 0.500 0.750 0.750
Zn9 Zn 0.500 0.750 0.250
Zn10 Zn 0.500 0.250 0.750
```



The following is a DFT calculation (PBE) of an optimized crystal structure of SrPm4PrS8.

Its formation energy (no corrections) is -1973.4 meV per atom. Its space-group type is R3m, No. 160. The magnetization comes out at 0.00 μB/f.u.

CIF file:
```
data_SrPm4PrS8
_chemical_formula_sum 'Sr1 Pm4 Pr1 S8'
_cell_length_a 8.371
_cell_length_b 8.371
_cell_length_c 8.401
_cell_angle_alpha 60.12
_cell_angle_beta 60.12
_cell_angle_gamma 60.00
_symmetry_space_group_name_H-M 'P 1'
_symmetry_Int_Tables_number 1
loop_
_symmetry_equiv_pos_as_xyz
'x,y,z'
loop_
_atom_site_label
_atom_site_type_symbol
_atom_site_fract_x
_atom_site_fract_y
_atom_site_fract_z
Sr1 Sr 0.375 0.375 0.876
Pm1 Pm 0.625 0.625 0.124
Pm2 Pm 0.002 0.495 0.502
Pm3 Pm 0.495 0.002 0.502
Pm4 Pm 0.002 0.002 0.502
Pr1 Pr 0.002 0.002 0.995
S1 S 0.240 0.787 0.734
S2 S 0.787 0.240 0.734
S3 S 0.240 0.240 0.734
S4 S 0.237 0.237 0.288
S5 S 0.755 0.228 0.261
S6 S 0.228 0.755 0.261
S7 S 0.755 0.755 0.261
S8 S 0.758 0.758 0.726
```